First-principles (GGA-PBE) data for an optimized crystal structure of MnAl2Tc, as listed in the Alexandria database.

Structure (extended XYZ):
```
8
Lattice="6.7533 0.0000 0.0000 0.0000 6.7533 0.0000 3.3766 3.3766 2.7098" Properties=species:S:1:pos:R:3 pbc="T T T"
Tc 0.0000 0.0000 0.0000
Al 5.0154 1.6883 0.6775
Al 5.0650 5.1145 2.0324
Mn 3.3766 3.3766 0.0000
Al 8.4416 8.3920 2.0324
Mn 3.3766 6.7533 1.3549
Al 1.7379 5.0650 0.6775
Tc 6.7533 3.3766 1.3549
```

Computed properties:
DOS at the Fermi energy = 2.17 states/eV/cell
crystal system = tetragonal
total moment = 3.9 μB/f.u.
E_form = 0.24 eV per atom